# 1
Ta2Mn2Cl | PBE-GGA | optimized geometry

Values from the calculation:
* volume: 18.242 Å³ per atom
* Fermi-level density of states: 0.73 states/eV/atom
* total magnetization: 0.59 μB/cell
* uncorrected energy: -41.786 eV for the cell shown
* symmetry: No. 139
* E above lowest polymorph: 9 meV per atom
* formation energy (no corrections): 0.4210 eV/atom

Lattice parameters (Å, degrees): 3.5041 3.5041 7.8307 77.07 77.07 90.00
Each line ends with the local moment (μB).
Element x y z (fractional)
Mn (0.2500, 0.7500, 0.5000)  0.58
Ta (0.3647, 0.3647, 0.2706)  -0.20
Mn (0.7500, 0.2500, 0.5000)  0.58
Cl (0.0000, 0.0000, 0.0000)  -0.01
Ta (0.6353, 0.6353, 0.7294)  -0.20



# 2
Rb2MnCo | PBE-GGA | optimized geometry

Values from the calculation:
* volume: 45.280 Å³ per atom
* Fermi-level density of states: 1.44 states/eV/atom
* total magnetization: 9.87 μB/cell
* uncorrected energy: -28.554 eV for the cell shown
* symmetry: No. 122
* E above lowest polymorph: 0 meV per atom

Lattice parameters (Å, degrees): 12.9129 12.9129 9.3857 46.54 46.54 90.00
Each line ends with the local moment (μB).
Element x y z (fractional)
Rb (0.8750, 0.0641, 0.7500)  0.00
Rb (0.3750, 0.1859, 0.7500)  0.00
Mn (0.2500, 0.7500, 0.5000)  3.48
Rb (0.8141, 0.1250, 0.2500)  -0.01
Mn (0.5000, 0.5000, 0.0000)  3.48
Rb (0.9359, 0.6250, 0.2500)  -0.01
Co (0.7500, 0.2500, 0.5000)  1.29
Co (0.0000, 0.0000, 0.0000)  1.28



# 3
In2FeAs | PBE-GGA | optimized geometry

Values from the calculation:
* volume: 19.949 Å³ per atom
* Fermi-level density of states: 0.84 states/eV/atom
* total magnetization: 1.44 μB/cell
* uncorrected energy: -18.258 eV for the cell shown
* symmetry: No. 99

Lattice parameters (Å, degrees): 3.0809 3.0809 8.4067 90.00 90.00 90.00
Each line ends with the local moment (μB).
Element x y z (fractional)
In (0.5000, 0.5000, 0.2654)  -0.01
As (0.0000, 0.0000, 0.5789)  -0.07
Fe (0.5000, 0.5000, 0.7150)  1.58
In (0.0000, 0.0000, 0.9407)  -0.02



# 4
KAl2InI8 | PBE-GGA | optimized geometry

Values from the calculation:
* volume: 48.594 Å³ per atom
* Fermi-level density of states: 0.00 states/eV/atom
* total magnetization: 0.00 μB/cell
* uncorrected energy: -33.041 eV for the cell shown
* symmetry: No. 147
* formation energy (no corrections): -0.7766 eV/atom

Lattice parameters (Å, degrees): 7.5906 7.5906 11.6864 90.00 90.00 120.00
Element x y z (fractional)
Al (0.6667, 0.3333, 0.2261)
I (0.6554, 0.6669, 0.7051)
I (0.3333, 0.6667, 0.9924)
I (0.6667, 0.3333, 0.0076)
In (0.0000, 0.0000, 0.5000)
I (0.6669, 0.0115, 0.2949)
I (0.3446, 0.3331, 0.2949)
I (0.3331, 0.9885, 0.7051)
I (0.0115, 0.3446, 0.7051)
I (0.9885, 0.6554, 0.2949)
K (0.0000, 0.0000, 0.0000)
Al (0.3333, 0.6667, 0.7739)



# 5
Co3NiS | PBE-GGA | optimized geometry

Values from the calculation:
* volume: 15.788 Å³ per atom
* Fermi-level density of states: 1.12 states/eV/atom
* total magnetization: 6.99 μB/cell
* uncorrected energy: -25.314 eV for the cell shown
* symmetry: No. 221
* E above lowest polymorph: 777 meV per atom
* formation energy (no corrections): 1.1825 eV/atom

Lattice parameters (Å, degrees): 4.2898 4.2898 4.2898 90.00 90.00 90.00
Each line ends with the local moment (μB).
Element x y z (fractional)
S (0.5000, 0.5000, 0.5000)  0.18
Co (0.0000, 0.5000, 0.0000)  2.14
Ni (0.0000, 0.0000, 0.0000)  0.91
Co (0.0000, 0.0000, 0.5000)  2.35
Co (0.5000, 0.0000, 0.0000)  1.45



# 6
LaOs2Ru | PBE-GGA | optimized geometry

Values from the calculation:
* volume: 17.181 Å³ per atom
* Fermi-level density of states: 1.35 states/eV/atom
* total magnetization: 0.27 μB/cell
* uncorrected energy: -34.160 eV for the cell shown
* symmetry: No. 166
* E above lowest polymorph: 303 meV per atom

Lattice parameters (Å, degrees): 10.1135 10.1135 10.1135 16.03 16.03 16.03
Each line ends with the local moment (μB).
Element x y z (fractional)
La (0.7500, 0.7500, 0.7500)  -0.20
Ru (0.2500, 0.2500, 0.2500)  -0.02
Os (0.9877, 0.9877, 0.9877)  0.00
Os (0.5123, 0.5123, 0.5123)  0.00



# 7
Sr2SnBiP | PBE-GGA | optimized geometry

Values from the calculation:
* volume: 34.841 Å³ per atom
* Fermi-level density of states: 0.03 states/eV/atom
* total magnetization: 0.00 μB/cell
* uncorrected energy: -40.688 eV for the cell shown
* symmetry: No. 11
* E above lowest polymorph: 0 meV per atom

Lattice parameters (Å, degrees): 4.5378 7.1832 11.5612 112.40 90.00 90.00
Element x y z (fractional)
Sn (0.2500, 0.4294, 0.7786)
Bi (0.7500, 0.2332, 0.6023)
P (0.7500, 0.1822, 0.1745)
Sr (0.2500, 0.2362, 0.0112)
Sr (0.7500, 0.7567, 0.6394)
Sr (0.7500, 0.7638, 0.9888)
Sr (0.2500, 0.2433, 0.3606)
Bi (0.2500, 0.7668, 0.3977)
P (0.2500, 0.8178, 0.8255)
Sn (0.7500, 0.5706, 0.2214)



# 8
Tl12HgO5 | PBE-GGA | optimized geometry

Values from the calculation:
* volume: 26.119 Å³ per atom
* Fermi-level density of states: 0.33 states/eV/atom
* total magnetization: 0.00 μB/cell
* uncorrected energy: -60.882 eV for the cell shown
* symmetry: No. 12
* formation energy (no corrections): -0.4108 eV/atom

Lattice parameters (Å, degrees): 6.6622 6.4378 13.0348 95.50 100.67 58.84
Element x y z (fractional)
Hg (0.0000, 0.0000, 0.0000)
Tl (0.4412, 0.0000, 0.1240)
O (0.8310, 0.3380, 0.5000)
Tl (0.1297, 0.3307, 0.3867)
O (0.6846, 0.6308, 0.0000)
Tl (0.9760, 0.3911, 0.8677)
O (0.5000, 0.0000, 0.5000)
Tl (0.4604, 0.6694, 0.3867)
O (0.3154, 0.3692, 0.0000)
Tl (0.3671, 0.6089, 0.8677)
Tl (0.0241, 0.6089, 0.1323)
O (0.1690, 0.6620, 0.5000)
Tl (0.2012, 0.0000, 0.6136)
Tl (0.8703, 0.6694, 0.6133)
Tl (0.5396, 0.3307, 0.6133)
Tl (0.7988, 0.0000, 0.3864)
Tl (0.5588, 0.0000, 0.8760)
Tl (0.6329, 0.3911, 0.1323)



# 9
Cs4TlPb3Br12 | PBE-GGA | optimized geometry

Values from the calculation:
* volume: 42.439 Å³ per atom
* Fermi-level density of states: 0.10 states/eV/atom
* total magnetization: 0.00 μB/cell
* uncorrected energy: -61.722 eV for the cell shown
* symmetry: No. 229
* formation energy (no corrections): -1.2371 eV/atom

Lattice parameters (Å, degrees): 10.3309 10.3309 10.3309 109.47 109.47 109.47
Element x y z (fractional)
Cs (0.0000, 0.0000, 0.5000)
Tl (0.0000, 0.0000, 0.0000)
Br (0.5000, 0.7500, 0.2500)
Br (0.7486, 0.7486, 0.0000)
Cs (0.5000, 0.0000, 0.0000)
Br (0.0000, 0.2514, 0.2514)
Br (0.0000, 0.7486, 0.7486)
Br (0.2514, 0.2514, 0.0000)
Cs (0.0000, 0.5000, 0.0000)
Br (0.7500, 0.5000, 0.2500)
Pb (0.0000, 0.5000, 0.5000)
Br (0.2514, 0.0000, 0.2514)
Pb (0.5000, 0.0000, 0.5000)
Br (0.2500, 0.7500, 0.5000)
Br (0.7486, 0.0000, 0.7486)
Br (0.7500, 0.2500, 0.5000)
Br (0.5000, 0.2500, 0.7500)
Cs (0.5000, 0.5000, 0.5000)
Pb (0.5000, 0.5000, 0.0000)
Br (0.2500, 0.5000, 0.7500)



# 10
Ca3PbN | PBE-GGA | optimized geometry

Values from the calculation:
* volume: 42.141 Å³ per atom
* Fermi-level density of states: 1.10 states/eV/atom
* total magnetization: 1.09 μB/cell
* uncorrected energy: -13.957 eV for the cell shown
* symmetry: No. 221
* E above lowest polymorph: 1578 meV per atom
* formation energy (no corrections): 0.8162 eV/atom

Lattice parameters (Å, degrees): 5.9505 5.9505 5.9505 90.00 90.00 90.00
Each line ends with the local moment (μB).
Element x y z (fractional)
Pb (0.0000, 0.0000, 0.0000)  0.01
Ca (0.0000, 0.0000, 0.5000)  -0.04
N (0.5000, 0.5000, 0.5000)  1.16
Ca (0.5000, 0.0000, 0.0000)  -0.03
Ca (0.0000, 0.5000, 0.0000)  -0.05